Compound: KTlSnBi
Source: the Alexandria database
Functional: PBE
Structure: relaxed

```
KTlSnBi
1.0
8.027 0.000 0.000
0.000 8.027 0.000
0.000 0.000 8.027
K Tl Sn Bi
4 4 4 4
direct
0.000 0.000 0.000 K
0.000 0.500 0.500 K
0.500 0.000 0.500 K
0.500 0.500 0.000 K
0.250 0.250 0.250 Tl
0.250 0.750 0.750 Tl
0.750 0.250 0.750 Tl
0.750 0.750 0.250 Tl
0.000 0.000 0.500 Sn
0.000 0.500 0.000 Sn
0.500 0.000 0.000 Sn
0.500 0.500 0.500 Sn
0.250 0.250 0.750 Bi
0.250 0.750 0.250 Bi
0.750 0.250 0.250 Bi
0.750 0.750 0.750 Bi
```

Properties
**Total energy**: -2.90 eV per atom
**Symmetry**: F-43m (216)
**ΔE_f**: -61 meV per atom
**Magnetization**: 0.000 μB/cell